1.
PBEsol TaMnFeP2, relaxed; total magnetic moment = 7.08 μB per formula unit; energy of formation = 1.1028 eV/atom
1.0
-1.120 0.042 4.471
4.240 -1.715 1.078
1.674 4.375 0.378
Ta P Mn Fe
1 2 1 1
Direct
0.000 0.000 0.000 Ta
0.000 0.000 0.500 P
0.000 0.500 0.000 P
0.500 0.500 0.500 Mn
0.500 0.000 0.000 Fe

---

2.
PBEsol Mn2FePb, relaxed; total magnetic moment = 7.66 μB per formula unit; energy of formation = 0.5014 eV/atom
1.0
3.987 0.000 0.000
0.000 3.987 0.000
-1.994 -1.994 3.595
Fe Pb Mn
1 1 2
Direct
0.000 0.500 0.000 Fe
0.500 0.000 0.000 Pb
0.750 0.750 0.500 Mn
0.250 0.250 0.500 Mn

---

The records above give, respectively, E values of -7.4689 -7.6197 eV per atom.